VASP calculation (PBE) on a geometry-optimized CsAsF4 structure.

Cell: 6.768 4.872 8.741 Å, 90.00 112.70 90.00°
Positions (direct):
Cs: 0.188 0.000 0.283
Cs: 0.812 0.500 0.717
As: 0.343 0.993 0.808
As: 0.657 0.493 0.192
F: 0.112 0.939 0.620
F: 0.137 0.022 0.913
F: 0.335 0.364 0.795
F: 0.492 0.505 0.332
F: 0.508 0.005 0.668
F: 0.665 0.864 0.205
F: 0.863 0.522 0.087
F: 0.888 0.439 0.380

Output
Energy above the most stable polymorph in this dataset ... 0.0000 eV/atom
Total energy ... -4.613 eV/atom
N(E_F) ... 0.000 states/eV/cell